Pr2PaBi: relaxed, PBE-GGA.

E_form	-0.52	eV per formula unit
excess energy over the best structure of this formula in the dataset	0	meV per atom

abc: 4.0210 4.0210 7.6142
angles: 90.00 90.00 90.00
With the nearest neighbours (Å) after each atom.
Positions (direct):
1 Pr 0.0000 0.0000 0.7348  4 Bi 3.36, 4 Pa 3.49, 1 Pr 3.57
2 Pr 0.0000 0.0000 0.2652  4 Bi 3.36, 4 Pa 3.49, 1 Pr 3.57
3 Pa 0.5000 0.5000 0.0000  8 Pr 3.49, 2 Bi 3.81
4 Bi 0.5000 0.5000 0.5000  8 Pr 3.36